The following is a DFT calculation (PBE-GGA) of YWN3 after structural relaxation.

Summary:
formation energy without anion corrections: -20.346 kcal/mol of atoms

Unit cell a=10.311 b=10.704 c=5.074 alpha=90.00 beta=91.22 gamma=90.00
Space group C2/c (No. 15)
Unique sites:
Y1 0.229 0.105 0.321 x8
W1 0.000 0.190 0.750 x4
W2 0.000 0.416 0.250 x4
N1 0.091 0.275 0.466 x8
N2 0.117 0.464 0.967 x8
N3 0.128 0.091 0.892 x8

The following is a DFT calculation (PBE-GGA) of Tb3Dy3ScTe8 after structural relaxation.

Summary:
formation energy without anion corrections: -30.928 kcal/mol of atoms

Unit cell a=8.6741 b=8.6741 c=21.2606 alpha=90.00 beta=90.00 gamma=120.00
Space group R-3m (No. 166, hexagonal axes)
Unique sites:
Tb1 0.0000 0.5000 0.0000 x9
Dy1 0.0000 0.5000 0.5000 x9
Sc1 0.0000 0.0000 0.5000 x3
Te1 0.0000 0.0000 0.2495 x6
Te2 0.0023 0.5012 0.2489 x18

The following is a DFT calculation (PBE-GGA) of Cs2BaTe10 after structural relaxation.

Summary:
formation energy without anion corrections: -11.505 kcal/mol of atoms

Unit cell a=8.433 b=18.423 c=7.308 alpha=90.00 beta=92.50 gamma=90.00
Space group P2_1/c (No. 14)
Unique sites:
Cs1 0.110 0.177 0.316 x4
Ba1 0.500 0.000 0.000 x2
Te1 0.149 0.093 0.801 x4
Te2 0.183 0.624 0.592 x4
Te3 0.317 0.005 0.548 x4
Te4 0.319 0.655 0.982 x4
Te5 0.441 0.691 0.372 x4

The following is a DFT calculation (PBE-GGA) of Sr2NpMn2N6 after structural relaxation.

Summary:
formation energy without anion corrections: -15.893 kcal/mol of atoms

Unit cell a=5.8681 b=5.8681 c=16.4636 alpha=90.00 beta=90.00 gamma=120.00
Space group R-3m (No. 166, hexagonal axes)
Unique sites:
Sr1 0.0000 0.0000 0.2273 x6
Np1 0.0000 0.0000 0.0000 x3
Mn1 0.0000 0.0000 0.4363 x6
N1 0.0033 0.5017 0.2550 x18

The following is a DFT calculation (PBE-GGA) of TlH8PdPt2 after structural relaxation.

Unit cell a=4.8850 b=4.8850 c=19.1799 alpha=90.00 beta=90.00 gamma=120.00
Space group R-3 (No. 148, hexagonal axes)
Unique sites:
Tl1 0.0000 0.0000 0.0000 x3
H1 0.0000 0.0000 0.2877 x6
H2 0.0048 0.6550 0.7854 x18
Pd1 0.0000 0.0000 0.5000 x3
Pt1 0.0000 0.0000 0.2036 x6

The following is a DFT calculation (PBE-GGA) of PmPuAgPd after structural relaxation.

Summary:
E_form: -0.2894 eV/atom

Unit cell a=7.267 b=7.267 c=7.267 alpha=90.00 beta=90.00 gamma=90.00
Space group F-43m (No. 216)
Unique sites:
Pm1 0.000 0.000 0.000 x4
Pu1 0.000 0.000 0.500 x4
Ag1 0.250 0.250 0.750 x4
Pd1 0.250 0.250 0.250 x4

The following is a DFT calculation (PBE-GGA) of TbSmHgPd after structural relaxation.

Summary:
E_form: -0.6542 eV/atom

Unit cell a=3.625 b=3.625 c=7.457 alpha=90.00 beta=90.00 gamma=90.00
Space group P4mm (No. 99)
Unique sites:
Tb1 0.000 0.000 0.000 x1
Sm1 0.000 0.000 0.540 x1
Hg1 0.500 0.500 0.263 x1
Pd1 0.500 0.500 0.783 x1

The following is a DFT calculation (PBE-GGA) of SrMg2Mo after structural relaxation.

Summary:
E_form: 0.7043 eV/atom

Unit cell a=4.623 b=4.623 c=4.716 alpha=90.00 beta=90.00 gamma=90.00
Space group P4/mmm (No. 123)
Unique sites:
Sr1 0.000 0.000 0.000 x1
Mg1 0.000 0.500 0.500 x2
Mo1 0.500 0.500 0.000 x1

The following is a DFT calculation (PBE-GGA) of Ca2BeSe after structural relaxation.

Summary:
formation energy without anion corrections: 3.152 kcal/mol of atoms

Unit cell a=7.277 b=7.277 c=7.277 alpha=90.00 beta=90.00 gamma=90.00
Space group F-43m (No. 216)
Unique sites:
Ca1 0.000 0.000 0.000 x4
Ca2 0.250 0.250 0.250 x4
Be1 0.250 0.250 0.750 x4
Se1 0.000 0.000 0.500 x4

The following is a DFT calculation (PBE-GGA) of CeMg6Cr after structural relaxation.

Summary:
E_form: 0.2056 eV/atom

Unit cell a=5.009 b=6.369 c=11.811 alpha=90.00 beta=90.00 gamma=90.00
Space group Amm2 (No. 38)
Unique sites:
Ce1 0.000 0.000 0.000 x2
Mg1 0.000 0.000 0.536 x2
Mg2 0.000 0.250 0.264 x4
Mg3 0.500 0.000 0.375 x2
Mg4 0.500 0.250 0.121 x4
Cr1 0.500 0.000 0.850 x2

The following is a DFT calculation (PBE-GGA) of LaRuO2 after structural relaxation.

Summary:
formation energy without anion corrections: -25.460 kcal/mol of atoms

Unit cell a=3.4579 b=3.4579 c=17.6475 alpha=90.00 beta=90.00 gamma=120.00
Space group R-3m (No. 166, hexagonal axes)
Unique sites:
La1 0.0000 0.0000 0.0000 x3
Ru1 0.0000 0.0000 0.5000 x3
O1 0.0000 0.0000 0.1265 x6

The following is a DFT calculation (PBE-GGA) of DyPu4Mg after structural relaxation.

Summary:
E_form: 0.3000 eV/atom

Unit cell a=8.692 b=8.692 c=8.692 alpha=90.00 beta=90.00 gamma=90.00
Space group F-43m (No. 216)
Unique sites:
Dy1 0.000 0.000 0.000 x4
Pu1 0.125 0.125 0.375 x16
Mg1 0.250 0.250 0.750 x4

The following is a DFT calculation (PBE-GGA) of Cs2ScBe2Se4 after structural relaxation.

Summary:
formation energy without anion corrections: -24.029 kcal/mol of atoms

Unit cell a=14.990 b=3.916 c=8.361 alpha=90.00 beta=107.51 gamma=90.00
Space group C2/m (No. 12)
Unique sites:
Cs1 0.132 0.000 0.035 x4
Sc1 0.000 0.000 0.500 x2
Be1 0.173 0.500 0.476 x4
Se1 0.033 0.500 0.291 x4
Se2 0.201 0.000 0.639 x4

The following is a DFT calculation (PBE-GGA) of BiHIrRh2 after structural relaxation.

Unit cell a=4.116 b=4.116 c=4.047 alpha=90.00 beta=90.00 gamma=90.00
Space group P4/mmm (No. 123)
Unique sites:
Bi1 0.000 0.000 0.000 x1
H1 0.500 0.500 0.500 x1
Ir1 0.500 0.500 0.000 x1
Rh1 0.000 0.500 0.500 x2

The following is a DFT calculation (PBE-GGA) of FeNi2Rh4 after structural relaxation.

Summary:
E_form: 0.1695 eV/atom

Unit cell a=6.441 b=7.864 c=3.812 alpha=90.00 beta=90.00 gamma=90.00
Space group Cmmm (No. 65)
Unique sites:
Fe1 0.000 0.000 0.000 x2
Ni1 0.000 0.217 0.500 x4
Rh1 0.205 0.500 0.500 x4
Rh2 0.250 0.250 0.000 x4

The following is a DFT calculation (PBE-GGA) of Pa2Ni6P3 after structural relaxation.

Summary:
E_form: -0.7737 eV/atom

Unit cell a=6.8451 b=6.8451 c=3.8986 alpha=90.00 beta=90.00 gamma=120.00
Space group P-62m (No. 189)
Unique sites:
Pa1 0.3333 0.6667 0.0000 x2
Ni1 0.0000 0.2038 0.0000 x3
Ni2 0.0000 0.6859 0.5000 x3
P1 0.0000 0.3565 0.5000 x3

The following is a DFT calculation (PBE-GGA) of TcNi2Au after structural relaxation.

Summary:
E_form: 0.1903 eV/atom

Unit cell a=8.958 b=2.674 c=4.613 alpha=90.00 beta=101.36 gamma=90.00
Space group Cm (No. 8)
Unique sites:
Tc1 0.000 0.000 0.000 x2
Ni1 0.020 0.500 0.539 x2
Ni2 0.256 0.000 0.802 x2
Au1 0.263 0.500 0.304 x2

The following is a DFT calculation (PBE-GGA) of La2NpTcN6 after structural relaxation.

Summary:
formation energy without anion corrections: -20.303 kcal/mol of atoms

Unit cell a=9.931 b=5.716 c=5.868 alpha=90.00 beta=125.36 gamma=90.00
Space group C2/m (No. 12)
Unique sites:
La1 0.247 0.000 0.239 x4
Np1 0.000 0.000 0.500 x2
Tc1 0.000 0.500 0.000 x2
N1 0.044 0.250 0.800 x8
N2 0.246 0.500 0.324 x4

The following is a DFT calculation (PBE-GGA) of Sr2SbAsAu6 after structural relaxation.

Summary:
formation energy without anion corrections: -8.985 kcal/mol of atoms

Unit cell a=6.7980 b=6.7980 c=39.4565 alpha=90.00 beta=90.00 gamma=120.00
Space group R-3m (No. 166, hexagonal axes)
Unique sites:
Sr1 0.0000 0.0000 0.1351 x6
Sr2 0.0000 0.0000 0.2861 x6
Sb1 0.0000 0.0000 0.0000 x3
Sb2 0.0000 0.0000 0.5000 x3
As1 0.0000 0.0000 0.4178 x6
Au1 0.0487 0.5244 0.7238 x18
Au2 0.0580 0.5290 0.8771 x18

The following is a DFT calculation (PBE-GGA) of Rb2In4Bi3Pb after structural relaxation.

Summary:
E_form: -0.1630 eV/atom

Unit cell a=5.184 b=5.184 c=13.908 alpha=90.00 beta=90.00 gamma=90.00
Space group P-4m2 (No. 115)
Unique sites:
Rb1 0.000 0.500 0.246 x2
In1 0.000 0.000 0.500 x1
In2 0.000 0.500 0.865 x2
In3 0.500 0.500 0.500 x1
Bi1 0.000 0.000 0.000 x1
Bi2 0.000 0.500 0.632 x2
Pb1 0.500 0.500 0.000 x1

Uncorrected energy across the listed records, respectively: -9.761; -5.285; -3.195; -8.380; -3.801; -7.071; -4.365; -3.221; -2.667; -2.935; -7.134; -10.287; -4.312; -6.099; -6.892; -7.129; -6.111; -9.192; -3.570; -2.987 eV per atom.